The following is a DFT calculation (PBE) of a relaxed structure of Nb2CoPtN.

Properties
- Fermi-level density of states: 5.4 states/eV/cell
- Formation energy (no corrections): 1594 meV/atom
- Total magnetization: 0.00 μB per formula unit
- Energy relative to the lowest polymorph listed for this composition: 2.1678 eV per atom
- Energy: -6.73 eV/atom

Unit cell a=4.4821 b=4.5078 c=4.4821 alpha=90.00 beta=90.00 gamma=90.00
Last column: nearest neighbours and their distance in Å.
Positions (direct):
Nb 0.0000 0.0000 0.5000  2 Co 2.24
N 0.5000 0.5000 0.5000  4 Pt 3.17, 8 Nb 3.18
Nb 0.5000 0.0000 0.0000  2 Co 2.24
Pt 0.0000 0.5000 0.0000  2 Co 2.25
Co 0.0000 0.0000 0.0000  4 Nb 2.24, 2 Pt 2.25


The following is a DFT calculation (PBE) of a relaxed structure of Pu2NbCoN5.

Properties
- Fermi-level density of states: 20.5 states/eV/cell
- Formation energy (no corrections): -817 meV/atom
- Total magnetization: 7.49 μB per formula unit
- Energy: -10.54 eV/atom

Unit cell a=3.2161 b=6.5666 c=10.0922 alpha=90.00 beta=90.00 gamma=104.18
Last column: nearest neighbours and their distance in Å.
Positions (direct):
N 0.3682 0.7365 0.9949  1 Co 2.00, 1 Nb 2.15
Co 0.4774 0.9549 0.4576  4 N 1.89-2.00
N 0.9534 0.9068 0.5657  2 Co 1.97, 1 Nb 2.03
N 0.6756 0.3512 0.8690  1 Co 2.14, 2 Nb 2.17, 1 Pu 2.39
Nb 0.8004 0.6007 0.5109  6 N 2.03-2.20
Pu 0.8957 0.7914 0.1844  6 N 2.26-2.52
Co 0.5226 0.0451 0.9576  4 N 1.89-2.00
Nb 0.1996 0.3993 0.0109  6 N 2.03-2.20
N 0.4863 0.9725 0.7764  1 Co 1.89
N 0.6318 0.2635 0.4949  1 Co 2.00, 1 Nb 2.15
Pu 0.1434 0.2867 0.3074  7 N 2.33-2.49
N 0.0466 0.0932 0.0657  2 Co 1.97, 1 Nb 2.03
Pu 0.1043 0.2086 0.6844  6 N 2.26-2.52
N 0.7169 0.4338 0.1577  2 Nb 2.20, 3 Pu 2.29-2.40
N 0.2831 0.5662 0.6577  2 Nb 2.20, 3 Pu 2.29-2.40
N 0.5137 0.0275 0.2764  1 Co 1.89
Pu 0.8566 0.7133 0.8074  7 N 2.33-2.49
N 0.3244 0.6488 0.3690  1 Co 2.14, 2 Nb 2.17, 1 Pu 2.39


The following is a DFT calculation (PBE) of a relaxed structure of PuNb2CoN4.

Properties
- Fermi-level density of states: 15.8 states/eV/cell
- Formation energy (no corrections): -886 meV/atom
- Total magnetization: 4.11 μB per formula unit
- Energy: -10.25 eV/atom

Unit cell a=3.1714 b=5.5641 c=10.7843 alpha=90.00 beta=90.00 gamma=106.56
Last column: nearest neighbours and their distance in Å.
Positions (direct):
Nb 0.3689 0.7378 0.9437  6 N 2.11-2.29
N 0.2737 0.5474 0.1148  1 Co 1.90, 1 Nb 2.11
Pu 0.1090 0.2179 0.7500  6 N 2.32-2.49
Pu 0.8910 0.7821 0.2500  6 N 2.32-2.49
N 0.0000 0.0000 0.0000  4 Nb 2.20
Nb 0.3689 0.7378 0.5563  6 N 2.11-2.29
N 0.4505 0.9009 0.7500  2 Co 1.98
N 0.0000 0.0000 0.5000  4 Nb 2.20
Co 0.1600 0.3200 0.2500  4 N 1.90-1.98
N 0.5495 0.0991 0.2500  2 Co 1.98
N 0.2737 0.5474 0.3852  1 Co 1.90, 1 Nb 2.11
N 0.7263 0.4526 0.6148  1 Co 1.90, 1 Nb 2.11
Nb 0.6311 0.2622 0.4437  6 N 2.11-2.29
N 0.7263 0.4526 0.8852  1 Co 1.90, 1 Nb 2.11
Co 0.8400 0.6800 0.7500  4 N 1.90-1.98
Nb 0.6311 0.2622 0.0563  6 N 2.11-2.29


The following is a DFT calculation (PBE) of a relaxed structure of NbCo2RhN.

Properties
- Fermi-level density of states: 4.4 states/eV/cell
- Formation energy (no corrections): -262 meV/atom
- Total magnetization: 2.37 μB per formula unit
- Energy: -8.25 eV/atom

Unit cell a=3.8067 b=3.8067 c=4.1942 alpha=90.00 beta=90.00 gamma=90.00
Last column: nearest neighbours and their distance in Å.
Positions (direct):
N 0.0000 0.0000 0.0000  4 Co 1.90, 2 Nb 2.10
Co 0.0000 0.5000 0.0000  2 N 1.90
Co 0.5000 0.0000 0.0000  2 N 1.90
Nb 0.0000 0.0000 0.5000  2 N 2.10
Rh 0.5000 0.5000 0.5000  4 Nb 2.69, 8 Co 2.83


The following is a DFT calculation (PBE) of a relaxed structure of Nb2CoRhN.

Properties
- Fermi-level density of states: 4.0 states/eV/cell
- Formation energy (no corrections): -494 meV/atom
- Total magnetization: 1.02 μB per formula unit
- Energy: -9.08 eV/atom

Unit cell a=4.2367 b=4.2367 c=3.7783 alpha=90.00 beta=90.00 gamma=90.00
Last column: nearest neighbours and their distance in Å.
Positions (direct):
N 0.0000 0.0000 0.0000  2 Co 1.89
Rh 0.5000 0.5000 0.5000  8 Nb 2.84, 4 Co 3.00
Nb 0.5000 0.0000 0.0000  2 N 2.12
Co 0.0000 0.0000 0.5000  2 N 1.89
Nb 0.0000 0.5000 0.0000  2 N 2.12


The following is a DFT calculation (PBE) of a relaxed structure of SmNb2CoN4.

Properties
- Fermi-level density of states: 5.0 states/eV/cell
- Formation energy (no corrections): -943 meV/atom
- Total magnetization: 0.00 μB per formula unit
- Energy: -9.10 eV/atom

Unit cell a=3.1723 b=5.6091 c=10.8448 alpha=90.00 beta=90.00 gamma=106.43
Last column: nearest neighbours and their distance in Å.
Positions (direct):
Nb 0.6311 0.2622 0.4423  6 N 2.12-2.27
Nb 0.6311 0.2622 0.0577  6 N 2.12-2.27
N 0.0000 0.0000 0.0000  4 Nb 2.21
Nb 0.3689 0.7378 0.5577  6 N 2.12-2.27
Sm 0.8919 0.7837 0.2500  6 N 2.37-2.53
N 0.0000 0.0000 0.5000  4 Nb 2.21
Nb 0.3689 0.7378 0.9423  6 N 2.12-2.27
N 0.5556 0.1112 0.2500  2 Co 1.93
Co 0.1576 0.3153 0.2500  4 N 1.93
Sm 0.1081 0.2163 0.7500  6 N 2.37-2.53
N 0.2721 0.5441 0.3872  1 Co 1.93, 1 Nb 2.12
N 0.2721 0.5441 0.1128  1 Co 1.93, 1 Nb 2.12
N 0.7279 0.4559 0.8872  1 Co 1.93, 1 Nb 2.12
N 0.7279 0.4559 0.6128  1 Co 1.93, 1 Nb 2.12
N 0.4444 0.8888 0.7500  2 Co 1.93
Co 0.8424 0.6847 0.7500  4 N 1.93


The following is a DFT calculation (PBE) of a relaxed structure of Nb2CoSnN.

Properties
- Fermi-level density of states: 4.4 states/eV/cell
- Formation energy (no corrections): -343 meV/atom
- Total magnetization: 0.55 μB per formula unit
- Energy: -8.26 eV/atom

Unit cell a=4.3122 b=4.3122 c=3.9510 alpha=90.00 beta=90.00 gamma=90.00
Last column: nearest neighbours and their distance in Å.
Positions (direct):
Sn 0.5000 0.5000 0.5000  8 Nb 2.92, 4 Co 3.05
N 0.0000 0.0000 0.0000  2 Co 1.98, 4 Nb 2.16
Nb 0.0000 0.5000 0.0000  2 N 2.16
Co 0.0000 0.0000 0.5000  2 N 1.98
Nb 0.5000 0.0000 0.0000  2 N 2.16


The following is a DFT calculation (PBE) of a relaxed structure of SrNbCoN3.

Properties
- Fermi-level density of states: 4.5 states/eV/cell
- Formation energy (no corrections): -618 meV/atom
- Total magnetization: 0.00 μB per formula unit
- Energy: -7.92 eV/atom

Unit cell a=3.2215 b=6.9987 c=7.5841 alpha=107.61 beta=90.00 gamma=90.00
Last column: nearest neighbours and their distance in Å.
Positions (direct):
N 0.7500 0.1905 0.5279  3 Co 1.90-1.91
Nb 0.7500 0.3276 0.8584  5 N 2.06-2.24
Sr 0.7500 0.7952 0.7741  7 N 2.58-2.83
N 0.7500 0.8672 0.1358  1 Co 1.93, 2 Nb 2.12
Nb 0.2500 0.6724 0.1416  5 N 2.06-2.24
Sr 0.2500 0.2048 0.2259  7 N 2.58-2.83
N 0.2500 0.5487 0.8576  3 Nb 2.06-2.24
Co 0.2500 0.0908 0.6004  4 N 1.90-1.93
N 0.7500 0.4513 0.1424  3 Nb 2.06-2.24
Co 0.7500 0.9092 0.3996  4 N 1.90-1.93
N 0.2500 0.8095 0.4721  3 Co 1.90-1.91
N 0.2500 0.1328 0.8642  1 Co 1.93, 2 Nb 2.12